# 1
Material: GeSe
Method: DFT, GGA-PBE
State: optimized geometry

Cell and atoms, written as CIF:
```
data_GeSe
_cell_length_a 3.795
_cell_length_b 14.218
_cell_length_c 5.906
_cell_angle_alpha 90.00
_cell_angle_beta 90.00
_cell_angle_gamma 90.00
_symmetry_space_group_name_H-M 'I m m 2'
_symmetry_Int_Tables_number 44
_symmetry_space_group_name_Hall 'I 2 -2'
loop_
_atom_site_label
_atom_site_type_symbol
_atom_site_fract_x
_atom_site_fract_y
_atom_site_fract_z
Ge1 Ge 0.000 0.000 0.000
Ge2 Ge 0.000 0.174 0.525
Se1 Se 0.000 0.202 0.960
Se2 Se 0.000 0.500 0.205
```

=====

# 2
# GeSe | Alexandria | GGA-PBE | optimized geometry
# * DOS at the Fermi energy: 0.02 states/eV per cell
data_GeSe
_cell_length_a 3.803
_cell_length_b 3.803
_cell_length_c 8.899
_cell_angle_alpha 78.03
_cell_angle_beta 77.72
_cell_angle_gamma 60.01
_symmetry_space_group_name_H-M 'P -1'
_symmetry_Int_Tables_number 2
_symmetry_space_group_name_Hall '-P 1'
loop_
_atom_site_label
_atom_site_type_symbol
_atom_site_fract_x
_atom_site_fract_y
_atom_site_fract_z
Ge1 Ge 0.206 0.203 0.383
Se1 Se 0.407 0.414 0.774

=====

# 3
# GeSe2 | Alexandria | GGA-PBE | optimized geometry
# * DOS at the Fermi energy: 5.31 states/eV per cell
data_GeSe2
_cell_length_a 14.023
_cell_length_b 3.751
_cell_length_c 5.467
_cell_angle_alpha 90.00
_cell_angle_beta 100.72
_cell_angle_gamma 90.00
_symmetry_space_group_name_H-M 'C 1 2/m 1'
_symmetry_Int_Tables_number 12
_symmetry_space_group_name_Hall '-C 2y'
loop_
_atom_site_label
_atom_site_type_symbol
_atom_site_fract_x
_atom_site_fract_y
_atom_site_fract_z
Ge1 Ge 0.181 0.000 0.214
Se1 Se 0.037 0.500 0.211
Se2 Se 0.179 0.000 0.718

=====

# 4
Material: GeSe
Method: DFT, GGA-PBE
State: optimized geometry

Cell and atoms, written as CIF:
```
data_GeSe
_cell_length_a 11.181
_cell_length_b 3.891
_cell_length_c 4.484
_cell_angle_alpha 90.00
_cell_angle_beta 90.00
_cell_angle_gamma 90.00
_symmetry_space_group_name_H-M 'P n m a'
_symmetry_Int_Tables_number 62
_symmetry_space_group_name_Hall '-P 2ac 2n'
loop_
_atom_site_label
_atom_site_type_symbol
_atom_site_fract_x
_atom_site_fract_y
_atom_site_fract_z
Ge1 Ge 0.127 0.250 0.116
Se1 Se 0.147 0.750 0.501
```

=====

# 5
# GeSe | Alexandria | GGA-PBE | optimized geometry
# * DOS at the Fermi energy: 0.00 states/eV per cell
data_GeSe
_cell_length_a 9.452
_cell_length_b 9.452
_cell_length_c 9.452
_cell_angle_alpha 90.00
_cell_angle_beta 90.00
_cell_angle_gamma 90.00
_symmetry_space_group_name_H-M 'I -4 3 m'
_symmetry_Int_Tables_number 217
_symmetry_space_group_name_Hall 'I -4 2 3'
loop_
_atom_site_label
_atom_site_type_symbol
_atom_site_fract_x
_atom_site_fract_y
_atom_site_fract_z
Ge1 Ge 0.130 0.130 0.130
Se1 Se 0.144 0.144 0.856

=====

# 6
# GeSe | Alexandria | GGA-PBE | optimized geometry
# * DOS at the Fermi energy: 2.09 states/eV per cell
data_GeSe
_cell_length_a 7.952
_cell_length_b 11.199
_cell_length_c 13.212
_cell_angle_alpha 90.00
_cell_angle_beta 90.00
_cell_angle_gamma 90.00
_symmetry_space_group_name_H-M 'F d d d'
_symmetry_Int_Tables_number 70
loop_
_symmetry_equiv_pos_as_xyz
'x,y,z'
'-x,-y,-z'
'-x+1/4,-y+1/4,z'
'x+1/4,y+1/4,-z'
'x,-y+1/4,-z+1/4'
'-x,y+1/4,z+1/4'
'-x+1/4,y,-z+1/4'
'x+1/4,-y,z+1/4'
'x,y+1/2,z+1/2'
'-x,-y+1/2,-z+1/2'
'-x+1/4,-y+3/4,z+1/2'
'x+1/4,y+3/4,-z+1/2'
'x,-y+3/4,-z+3/4'
'-x,y+3/4,z+3/4'
'-x+1/4,y+1/2,-z+3/4'
'x+1/4,-y+1/2,z+3/4'
'x+1/2,y,z+1/2'
'-x+1/2,-y,-z+1/2'
'-x+3/4,-y+1/4,z+1/2'
'x+3/4,y+1/4,-z+1/2'
'x+1/2,-y+1/4,-z+3/4'
'-x+1/2,y+1/4,z+3/4'
'-x+3/4,y,-z+3/4'
'x+3/4,-y,z+3/4'
'x+1/2,y+1/2,z'
'-x+1/2,-y+1/2,-z'
'-x+3/4,-y+3/4,z'
'x+3/4,y+3/4,-z'
'x+1/2,-y+3/4,-z+1/4'
'-x+1/2,y+3/4,z+1/4'
'-x+3/4,y+1/2,-z+1/4'
'x+3/4,-y+1/2,z+1/4'
loop_
_atom_site_label
_atom_site_type_symbol
_atom_site_fract_x
_atom_site_fract_y
_atom_site_fract_z
Ge1 Ge 0.125 0.004 0.125
Se1 Se 0.125 0.125 0.324

=====

# 7
Material: GeSe
Method: DFT, GGA-PBE
State: optimized geometry

Cell and atoms, written as CIF:
```
data_GeSe
_cell_length_a 8.4232
_cell_length_b 8.4232
_cell_length_c 5.6835
_cell_angle_alpha 90.00
_cell_angle_beta 90.00
_cell_angle_gamma 120.00
_symmetry_space_group_name_H-M 'P 63/m'
_symmetry_Int_Tables_number 176
_symmetry_space_group_name_Hall '-P 6c'
loop_
_atom_site_label
_atom_site_type_symbol
_atom_site_fract_x
_atom_site_fract_y
_atom_site_fract_z
Ge1 Ge 0.0010 0.3524 0.2500
Se1 Se 0.0564 0.6856 0.2500
```

=====

# 8
Material: GeSe
Method: DFT, GGA-PBE
State: optimized geometry

Cell and atoms, written as CIF:
```
data_GeSe
_cell_length_a 11.429
_cell_length_b 11.429
_cell_length_c 3.708
_cell_angle_alpha 90.00
_cell_angle_beta 90.00
_cell_angle_gamma 90.00
_symmetry_space_group_name_H-M 'I 4/m'
_symmetry_Int_Tables_number 87
_symmetry_space_group_name_Hall '-I 4'
loop_
_atom_site_label
_atom_site_type_symbol
_atom_site_fract_x
_atom_site_fract_y
_atom_site_fract_z
Ge1 Ge 0.117 0.781 0.000
Se1 Se 0.134 0.336 0.000
```

=====

# 9
Material: GeSe
Method: DFT, GGA-PBE
State: optimized geometry

Cell and atoms, written as CIF:
```
data_GeSe
_cell_length_a 4.7888
_cell_length_b 4.7888
_cell_length_c 5.8559
_cell_angle_alpha 90.00
_cell_angle_beta 90.00
_cell_angle_gamma 120.00
_symmetry_space_group_name_H-M 'P 63 m c'
_symmetry_Int_Tables_number 186
_symmetry_space_group_name_Hall 'P 6c -2c'
loop_
_atom_site_label
_atom_site_type_symbol
_atom_site_fract_x
_atom_site_fract_y
_atom_site_fract_z
Ge1 Ge 0.3333 0.6667 0.0000
Se1 Se 0.3333 0.6667 0.4452
```

=====

# 10
# GeSe2 | Alexandria | GGA-PBE | optimized geometry
# * DOS at the Fermi energy: 5.20 states/eV per cell
data_GeSe2
_cell_length_a 13.309
_cell_length_b 3.420
_cell_length_c 8.991
_cell_angle_alpha 90.00
_cell_angle_beta 90.00
_cell_angle_gamma 90.00
_symmetry_space_group_name_H-M 'C m c m'
_symmetry_Int_Tables_number 63
_symmetry_space_group_name_Hall '-C 2c 2'
loop_
_atom_site_label
_atom_site_type_symbol
_atom_site_fract_x
_atom_site_fract_y
_atom_site_fract_z
Ge1 Ge 0.000 0.241 0.250
Se1 Se 0.133 0.259 0.750

=====

# 11
# SiGeSe | Alexandria | GGA-PBE | optimized geometry
# * DOS at the Fermi energy: 0.24 states/eV per cell
# * excess energy over the best structure of this formula in the dataset: 36 kJ/mol of formula units
data_SiGeSe
_cell_length_a 4.559
_cell_length_b 5.504
_cell_length_c 6.019
_cell_angle_alpha 77.29
_cell_angle_beta 67.96
_cell_angle_gamma 83.72
_symmetry_space_group_name_H-M 'P 1'
_symmetry_Int_Tables_number 1
_symmetry_space_group_name_Hall 'P 1'
loop_
_atom_site_label
_atom_site_type_symbol
_atom_site_fract_x
_atom_site_fract_y
_atom_site_fract_z
Si1 Si 0.000 0.000 0.000
Si2 Si 0.098 0.180 0.294
Ge1 Ge 0.289 0.609 0.099
Ge2 Ge 0.698 0.139 0.720
Se1 Se 0.476 0.852 0.341
Se2 Se 0.798 0.562 0.786

=====

# 12
# SiGeSe | Alexandria | GGA-PBE | optimized geometry
# * DOS at the Fermi energy: 0.06 states/eV per cell
# * excess energy over the best structure of this formula in the dataset: 5 kJ/mol of formula units
data_SiGeSe
_cell_length_a 3.995
_cell_length_b 5.007
_cell_length_c 7.856
_cell_angle_alpha 87.94
_cell_angle_beta 86.10
_cell_angle_gamma 75.95
_symmetry_space_group_name_H-M 'P -1'
_symmetry_Int_Tables_number 2
_symmetry_space_group_name_Hall '-P 1'
loop_
_atom_site_label
_atom_site_type_symbol
_atom_site_fract_x
_atom_site_fract_y
_atom_site_fract_z
Si1 Si 0.019 0.091 0.136
Ge1 Ge 0.438 0.378 0.136
Se1 Se 0.177 0.741 0.337

=====

# 13
# SiGe2Se | Alexandria | GGA-PBE | optimized geometry
# * DOS at the Fermi energy: 7.33 states/eV per cell
# * excess energy over the best structure of this formula in the dataset: 0 kJ/mol of formula units
data_SiGe2Se
_cell_length_a 6.288
_cell_length_b 6.288
_cell_length_c 9.947
_cell_angle_alpha 90.00
_cell_angle_beta 90.00
_cell_angle_gamma 90.00
_symmetry_space_group_name_H-M 'I -4 2 d'
_symmetry_Int_Tables_number 122
_symmetry_space_group_name_Hall 'I -4 2bw'
loop_
_atom_site_label
_atom_site_type_symbol
_atom_site_fract_x
_atom_site_fract_y
_atom_site_fract_z
Si1 Si 0.000 0.000 0.000
Ge1 Ge 0.220 0.250 0.125
Se1 Se 0.000 0.000 0.500

=====

# 14
# SiGeSe | Alexandria | GGA-PBE | optimized geometry
# * excess energy over the best structure of this formula in the dataset: 0 kJ/mol of formula units
data_SiGeSe
_cell_length_a 3.678
_cell_length_b 5.320
_cell_length_c 9.908
_cell_angle_alpha 75.52
_cell_angle_beta 79.74
_cell_angle_gamma 69.78
_symmetry_space_group_name_H-M 'P -1'
_symmetry_Int_Tables_number 2
_symmetry_space_group_name_Hall '-P 1'
loop_
_atom_site_label
_atom_site_type_symbol
_atom_site_fract_x
_atom_site_fract_y
_atom_site_fract_z
Si1 Si 0.050 0.072 0.321
Ge1 Ge 0.173 0.654 0.500
Se1 Se 0.408 0.865 0.833

=====

# 15
# SiGeSe | Alexandria | GGA-PBE | optimized geometry
# * excess energy over the best structure of this formula in the dataset: 17 kJ/mol of formula units
data_SiGeSe
_cell_length_a 5.622
_cell_length_b 4.011
_cell_length_c 6.627
_cell_angle_alpha 90.00
_cell_angle_beta 90.35
_cell_angle_gamma 90.00
_symmetry_space_group_name_H-M 'P 1 21 1'
_symmetry_Int_Tables_number 4
_symmetry_space_group_name_Hall 'P 2yb'
loop_
_atom_site_label
_atom_site_type_symbol
_atom_site_fract_x
_atom_site_fract_y
_atom_site_fract_z
Si1 Si 0.027 0.000 0.402
Ge1 Ge 0.454 0.078 0.393
Se1 Se 0.242 0.506 0.864

=====

# 16
# SiGeSe | Alexandria | GGA-PBE | optimized geometry
# * DOS at the Fermi energy: 3.23 states/eV per cell
# * excess energy over the best structure of this formula in the dataset: 30 kJ/mol of formula units
data_SiGeSe
_cell_length_a 13.148
_cell_length_b 3.490
_cell_length_c 5.890
_cell_angle_alpha 90.00
_cell_angle_beta 109.29
_cell_angle_gamma 90.00
_symmetry_space_group_name_H-M 'C 1 2/m 1'
_symmetry_Int_Tables_number 12
_symmetry_space_group_name_Hall '-C 2y'
loop_
_atom_site_label
_atom_site_type_symbol
_atom_site_fract_x
_atom_site_fract_y
_atom_site_fract_z
Si1 Si 0.008 0.000 0.210
Ge1 Ge 0.166 0.500 0.427
Se1 Se 0.129 0.500 0.825

=====

# 17
# SiGeSe | Alexandria | GGA-PBE | optimized geometry
# * DOS at the Fermi energy: 0.48 states/eV per cell
# * excess energy over the best structure of this formula in the dataset: 40 kJ/mol of formula units
data_SiGeSe
_cell_length_a 4.759
_cell_length_b 3.866
_cell_length_c 8.107
_cell_angle_alpha 90.00
_cell_angle_beta 94.48
_cell_angle_gamma 90.00
_symmetry_space_group_name_H-M 'P 1 m 1'
_symmetry_Int_Tables_number 6
_symmetry_space_group_name_Hall 'P -2y'
loop_
_atom_site_label
_atom_site_type_symbol
_atom_site_fract_x
_atom_site_fract_y
_atom_site_fract_z
Si1 Si 0.000 0.000 0.000
Si2 Si 0.238 0.500 0.899
Ge1 Ge 0.234 0.500 0.417
Ge2 Ge 0.568 0.000 0.808
Se1 Se 0.916 0.000 0.282
Se2 Se 0.917 0.500 0.656

=====

# 18
# SiGe3Se | Alexandria | GGA-PBE | optimized geometry
# * DOS at the Fermi energy: 2.77 states/eV per cell
# * excess energy over the best structure of this formula in the dataset: 0 kJ/mol of formula units
data_SiGe3Se
_cell_length_a 4.844
_cell_length_b 4.844
_cell_length_c 4.844
_cell_angle_alpha 90.00
_cell_angle_beta 90.00
_cell_angle_gamma 90.00
_symmetry_space_group_name_H-M 'P m -3 m'
_symmetry_Int_Tables_number 221
_symmetry_space_group_name_Hall '-P 4 2 3'
loop_
_atom_site_label
_atom_site_type_symbol
_atom_site_fract_x
_atom_site_fract_y
_atom_site_fract_z
Si1 Si 0.000 0.000 0.000
Ge1 Ge 0.000 0.000 0.500
Se1 Se 0.500 0.500 0.500

=====

# 19
# SiGeSe | Alexandria | GGA-PBE | optimized geometry
# * DOS at the Fermi energy: 0.01 states/eV per cell
# * excess energy over the best structure of this formula in the dataset: 24 kJ/mol of formula units
data_SiGeSe
_cell_length_a 4.012
_cell_length_b 4.058
_cell_length_c 5.434
_cell_angle_alpha 70.72
_cell_angle_beta 69.21
_cell_angle_gamma 60.84
_symmetry_space_group_name_H-M 'P 1'
_symmetry_Int_Tables_number 1
_symmetry_space_group_name_Hall 'P 1'
loop_
_atom_site_label
_atom_site_type_symbol
_atom_site_fract_x
_atom_site_fract_y
_atom_site_fract_z
Si1 Si 0.000 0.000 0.000
Ge1 Ge 0.718 0.702 0.851
Se1 Se 0.137 0.858 0.413

=====

# 20
# SiGe2Se | Alexandria | GGA-PBE | optimized geometry
# * DOS at the Fermi energy: 8.81 states/eV per cell
# * excess energy over the best structure of this formula in the dataset: 78 kJ/mol of formula units
data_SiGe2Se
_cell_length_a 6.690
_cell_length_b 6.690
_cell_length_c 6.690
_cell_angle_alpha 90.00
_cell_angle_beta 90.00
_cell_angle_gamma 90.00
_symmetry_space_group_name_H-M 'F m -3 m'
_symmetry_Int_Tables_number 225
_symmetry_space_group_name_Hall '-F 4 2 3'
loop_
_atom_site_label
_atom_site_type_symbol
_atom_site_fract_x
_atom_site_fract_y
_atom_site_fract_z
Si1 Si 0.000 0.000 0.000
Ge1 Ge 0.250 0.250 0.250
Se1 Se 0.000 0.000 0.500

=====

| no. | total DFT energy (no corrections) (eV per atom) | formation energy (no corrections) (meV per atom) |
| --- | --- | --- |
| 1 | -4.23 | -181.2 |
| 2 | -4.31 | -257.7 |
| 3 | -3.97 | -112.6 |
| 4 | -4.28 | -225.8 |
| 5 | -4.15 | -98.6 |
| 6 | -3.98 | 68.2 |
| 7 | -4.20 | -151.0 |
| 8 | -4.21 | -163.9 |
| 9 | -4.18 | -125.7 |
| 10 | -3.68 | 177.4 |
| 11 | -4.48 | 28.4 |
| 12 | -4.59 | -79.5 |
| 13 | -4.30 | 238.2 |
| 14 | -4.61 | -97.7 |
| 15 | -4.55 | -39.2 |
| 16 | -4.50 | 7.2 |
| 17 | -4.47 | 40.7 |
| 18 | -3.95 | 603.0 |
| 19 | -4.52 | -14.3 |
| 20 | -4.10 | 440.4 |